# VReIO2

A relaxed structure of VReIO2 (GGA+U, Alexandria via LeMat-Bulk).

## Properties
* energy: -6.5684 eV per atom

```
data_VReIO2
_cell_length_a 3.861
_cell_length_b 3.861
_cell_length_c 6.392
_cell_angle_alpha 90.00
_cell_angle_beta 90.00
_cell_angle_gamma 90.00
_symmetry_space_group_name_H-M 'P 4/m m m'
_symmetry_Int_Tables_number 123
_symmetry_space_group_name_Hall '-P 4 2'
loop_
_atom_site_label
_atom_site_type_symbol
_atom_site_fract_x
_atom_site_fract_y
_atom_site_fract_z
V1 V 0.000 0.000 0.000
Re1 Re 0.500 0.500 0.500
I1 I 0.500 0.500 0.000
O1 O 0.000 0.500 0.500
```